(1)
Here is a geometry-optimized Li12Cd5Rh2 structure from the Alexandria database. Energies are from GGA-PBE.

Structure (POSCAR):
```
Li12Cd5Rh2
1.0
6.233 0.000 0.000
-3.117 7.145 3.167
0.000 0.997 7.957
Li Cd Rh
12 5 2
direct
0.001 0.001 0.191 Li
0.084 0.682 0.837 Li
0.599 0.682 0.837 Li
0.084 0.684 0.478 Li
0.599 0.684 0.478 Li
0.499 0.999 0.716 Li
0.501 0.001 0.284 Li
0.916 0.316 0.522 Li
0.401 0.316 0.522 Li
0.916 0.318 0.163 Li
0.401 0.318 0.163 Li
0.999 0.999 0.809 Li
0.175 0.350 0.825 Cd
0.318 0.636 0.182 Cd
0.000 0.000 0.500 Cd
0.682 0.364 0.818 Cd
0.825 0.650 0.175 Cd
0.715 0.000 0.000 Rh
0.285 0.000 0.000 Rh
```

Computed properties:
Total energy: -2.352 eV/atom
Crystal system: monoclinic
Total moment: 0.00 μB/cell
Energy of formation from the pure elements: -0.13 eV/atom

(2)
Here is a geometry-optimized Li2CdRh structure from the Alexandria database. Energies are from GGA-PBE.

Structure (POSCAR):
```
Li2CdRh
1.0
4.246 0.000 0.000
0.000 2.789 -0.021
0.000 1.504 5.236
Li Rh Cd
2 1 1
direct
0.000 0.110 0.007 Li
0.500 0.143 0.262 Li
0.000 0.456 0.483 Rh
0.500 0.792 0.748 Cd
```

Computed properties:
Total energy: -3.166 eV/atom
Crystal system: monoclinic
Total moment: 0.20 μB/cell
Energy of formation from the pure elements: -0.14 eV/atom

(3)
Here is a geometry-optimized Li2Cd7Rh2 structure from the Alexandria database. Energies are from GGA-PBE.

Structure (POSCAR):
```
Li2Cd7Rh2
1.0
-3.416 4.158 -4.555
-5.246 -1.541 1.050
-0.005 4.767 2.878
Li Cd Rh
2 7 2
direct
0.500 0.315 0.685 Li
0.500 0.685 0.315 Li
0.180 0.107 0.496 Cd
0.820 0.504 0.893 Cd
0.820 0.893 0.504 Cd
0.180 0.496 0.107 Cd
0.000 0.000 0.000 Cd
0.442 0.825 0.825 Cd
0.558 0.175 0.175 Cd
0.833 0.385 0.385 Rh
0.167 0.615 0.615 Rh
```

Computed properties:
Total energy: -2.447 eV/atom
Crystal system: monoclinic
Total moment: 0.00 μB/cell
Energy of formation from the pure elements: -0.18 eV/atom

Question: The highest energy of formation from the pure elements belongs to which entry?
Answer: Li12Cd5Rh2

Question: Which value of total moment does entry 1 give?
Answer: 0.00 μB/cell

Question: Which of these has the lowest total energy?
Answer: Li2CdRh

Question: total moment of number 3 (Li2Cd7Rh2)?
Answer: 0.00 μB/cell